1.
Computed, not measured: a relaxed Nd5YHo6 crystal at the GGA-PBE level of DFT.

Lattice parameters (Å, degrees): 11.8398 6.2369 6.2361 60.00 84.98 79.92
Closest atoms and distances in Å follow each position.
Atoms (fractional coordinates):
Nd 0.0000 0.6665 0.6670  6 Ho 3.57, 3 Nd 3.60, 3 Y 3.60
Nd 0.5000 0.5000 0.0000  6 Ho 3.58-3.59, 6 Nd 3.60
Nd 0.5000 0.1667 0.6665  6 Ho 3.58-3.59, 6 Nd 3.60
Nd 0.5000 0.8333 0.3335  6 Ho 3.58-3.59, 6 Nd 3.60
Nd 0.0000 0.3335 0.3330  6 Ho 3.57, 3 Nd 3.60, 3 Y 3.60
Ho 0.2493 0.5839 0.3335  1 Y 3.57, 5 Nd 3.57-3.59, 6 Ho 3.60
Ho 0.2496 0.2506 0.0000  5 Nd 3.57-3.59, 1 Y 3.58, 6 Ho 3.60
Ho 0.7507 0.4161 0.6665  1 Y 3.57, 5 Nd 3.57-3.59, 6 Ho 3.60
Ho 0.2493 0.9173 0.6665  1 Y 3.57, 5 Nd 3.57-3.59, 6 Ho 3.60
Ho 0.7504 0.7494 0.0000  5 Nd 3.57-3.59, 1 Y 3.58, 6 Ho 3.60
Ho 0.7507 0.0827 0.3335  1 Y 3.57, 5 Nd 3.57-3.59, 6 Ho 3.60
Y 0.0000 0.0000 0.0000  6 Ho 3.57-3.58, 6 Nd 3.60

Calculated values
Crystal system: monoclinic
Volume in Å³/atom: 32.7
Uncorrected energy in eV for the cell shown: -57.6
Energy relative to the lowest polymorph listed for this composition in kJ per mole of atoms: 0.0



2.
Computed, not measured: a relaxed CuSiHg2 crystal at the GGA-PBE level of DFT.

Lattice parameters (Å, degrees): 4.0899 4.2897 4.2897 90.00 90.00 90.00
Closest atoms and distances in Å follow each position.
Atoms (fractional coordinates):
Hg 0.0000 0.0000 0.0000  4 Cu 2.96, 4 Si 2.96, 4 Hg 3.03
Hg 0.0000 0.5000 0.5000  4 Si 2.96, 4 Cu 2.96, 4 Hg 3.03
Cu 0.5000 0.0000 0.5000  8 Hg 2.96, 4 Si 3.03
Si 0.5000 0.5000 0.0000  8 Hg 2.96, 4 Cu 3.03

Calculated values
Crystal system: tetragonal
Volume in Å³/atom: 18.8
Uncorrected energy in eV for the cell shown: -8.3
Raw formation energy in meV per atom: 462



3.
Computed, not measured: a relaxed Tb3ThCo2 crystal at the GGA-PBE level of DFT.

Lattice parameters (Å, degrees): 3.7667 8.4993 9.8855 78.06 79.02 77.20
Closest atoms and distances in Å follow each position.
Atoms (fractional coordinates):
Th 0.8383 0.5661 0.7574  2 Co 2.58
Th 0.1617 0.4339 0.2426  2 Co 2.58
Tb 0.1560 0.9401 0.7480  3 Co 2.71-2.95
Tb 0.5827 0.7791 0.0556  3 Co 2.82-3.07
Tb 0.4173 0.2209 0.9444  3 Co 2.82-3.07
Tb 0.8440 0.0599 0.2520  3 Co 2.71-2.95
Tb 0.5821 0.2776 0.5583  3 Co 2.79-3.03
Tb 0.4179 0.7224 0.4417  3 Co 2.79-3.03
Co 0.7636 0.4074 0.0655  2 Th 2.58, 2 Co 2.62, 2 Tb 2.82
Co 0.2326 0.0868 0.4481  2 Co 2.48, 2 Tb 2.71
Co 0.2364 0.5926 0.9345  2 Th 2.58, 2 Co 2.62, 2 Tb 2.82
Co 0.7674 0.9132 0.5519  2 Co 2.48, 2 Tb 2.71

Calculated values
Crystal system: monoclinic
Volume in Å³/atom: 24.9
Uncorrected energy in eV for the cell shown: -73.1



4.
Computed, not measured: a relaxed Ni3IrRh4 crystal at the GGA-PBE level of DFT.

Lattice parameters (Å, degrees): 3.9213 2.7128 13.5207 120.10 98.34 90.00
Closest atoms and distances in Å follow each position.
Atoms (fractional coordinates):
Ni 0.0000 0.5000 0.0000  4 Ir 2.38, 4 Rh 2.44
Ni 0.1761 0.3801 0.3521  7 Rh 2.44-2.56, 2 Ni 2.71
Ni 0.8239 0.6199 0.6479  7 Rh 2.44-2.56, 2 Ni 2.71
Rh 0.7159 0.0794 0.4318  5 Ni 2.49-2.56, 2 Rh 2.71
Rh 0.9121 0.5604 0.8241  4 Ni 2.44, 2 Rh 2.71
Rh 0.2841 0.9206 0.5682  5 Ni 2.49-2.56, 2 Rh 2.71
Rh 0.0879 0.4396 0.1759  4 Ni 2.44, 2 Rh 2.71
Ir 0.5000 0.0000 0.0000  4 Ni 2.38

Calculated values
Crystal system: orthorhombic
Volume in Å³/atom: 15.3
Uncorrected energy in eV for the cell shown: -51.2
Energy relative to the lowest polymorph listed for this composition in kJ per mole of atoms: 49.9



5.
Computed, not measured: a relaxed LaPrSnTe crystal at the GGA-PBE level of DFT.

Lattice parameters (Å, degrees): 4.5914 4.5914 7.9845 73.29 73.29 60.00
Closest atoms and distances in Å follow each position.
Atoms (fractional coordinates):
Pr 0.6910 0.6910 0.9269  3 Sn 3.20, 3 Te 3.28
La 0.1970 0.1970 0.4089  3 Sn 3.23, 3 Te 3.30
Te 0.4434 0.4434 0.6699  3 Pr 3.28, 3 La 3.30
Sn 0.9450 0.9450 0.1650  3 Pr 3.20, 3 La 3.23

Calculated values
Crystal system: trigonal
Volume in Å³/atom: 34.4
Uncorrected energy in eV for the cell shown: -21.5
Raw formation energy in meV per atom: -1165



6.
Computed, not measured: a relaxed TaCu2Mo crystal at the GGA-PBE level of DFT.

Lattice parameters (Å, degrees): 2.7450 2.7450 7.7046 90.00 90.00 89.98
Closest atoms and distances in Å follow each position.
Atoms (fractional coordinates):
Ta 0.5000 0.5000 0.7500  4 Ta 2.74, 8 Cu 2.75
Cu 0.0000 0.0000 0.4965  4 Mo 2.72, 4 Cu 2.74, 4 Ta 2.75
Cu 0.0000 0.0000 0.0035  4 Mo 2.72, 4 Cu 2.74, 4 Ta 2.75
Mo 0.5000 0.5000 0.2500  8 Cu 2.72, 4 Mo 2.74

Calculated values
Crystal system: tetragonal
Volume in Å³/atom: 14.5
Uncorrected energy in eV for the cell shown: -30.1
Energy relative to the lowest polymorph listed for this composition in kJ per mole of atoms: 8.8



7.
Computed, not measured: a relaxed Dy8Sb2Au3 crystal at the GGA-PBE level of DFT.

Lattice parameters (Å, degrees): 6.3728 7.9509 8.4806 117.95 92.70 90.00
Closest atoms and distances in Å follow each position.
Atoms (fractional coordinates):
Dy 0.3552 0.3919 0.2215  2 Au 2.85-2.96, 2 Sb 3.04-3.13
Dy 0.1246 0.8307 0.6614  3 Au 3.06-3.39, 1 Sb 3.37
Dy 0.8754 0.1693 0.3386  3 Au 3.06-3.39, 1 Sb 3.37
Dy 0.6448 0.6081 0.7785  2 Au 2.85-2.96, 2 Sb 3.04-3.13
Dy 0.8623 0.5875 0.1749  2 Au 3.00, 1 Sb 3.02, 1 Dy 3.23
Dy 0.3552 0.8296 0.2215  2 Au 2.85-2.96, 2 Sb 3.04-3.13
Dy 0.6448 0.1704 0.7785  2 Au 2.85-2.96, 2 Sb 3.04-3.13
Dy 0.1377 0.4125 0.8251  2 Au 3.00, 1 Sb 3.02, 1 Dy 3.23
Au 0.0000 0.1814 0.0000  6 Dy 2.85-3.06, 1 Au 2.88
Au 0.0000 0.8186 0.0000  6 Dy 2.85-3.06, 1 Au 2.88
Au 0.5000 0.0000 0.0000  4 Dy 2.96
Sb 0.3904 0.2479 0.4959  6 Dy 3.02-3.37
Sb 0.6096 0.7521 0.5041  6 Dy 3.02-3.37

Calculated values
Crystal system: monoclinic
Volume in Å³/atom: 29.2
Uncorrected energy in eV for the cell shown: -62.0
Raw formation energy in meV per atom: -543



8.
Computed, not measured: a relaxed Li2Ga3Ni8 crystal at the GGA-PBE level of DFT.

Lattice parameters (Å, degrees): 4.7124 4.7124 9.0627 74.93 74.93 60.00
Closest atoms and distances in Å follow each position.
Atoms (fractional coordinates):
Li 0.3578 0.3578 0.9265  4 Ni 2.27-2.41
Li 0.6422 0.6422 0.0735  4 Ni 2.27-2.41
Ni 0.2674 0.2674 0.6965  6 Ni 2.35-2.56, 1 Li 2.41, 1 Ga 2.49
Ni 0.2674 0.7686 0.6965  6 Ni 2.35-2.56, 1 Li 2.41, 1 Ga 2.49
Ni 0.7296 0.7296 0.8113  1 Li 2.27, 1 Ga 2.30
Ni 0.7326 0.7326 0.3035  6 Ni 2.35-2.56, 1 Li 2.41, 1 Ga 2.49
Ni 0.7686 0.2674 0.6965  6 Ni 2.35-2.56, 1 Li 2.41, 1 Ga 2.49
Ni 0.2314 0.7326 0.3035  6 Ni 2.35-2.56, 1 Li 2.41, 1 Ga 2.49
Ni 0.7326 0.2314 0.3035  6 Ni 2.35-2.56, 1 Li 2.41, 1 Ga 2.49
Ni 0.2704 0.2704 0.1887  1 Li 2.27, 1 Ga 2.30
Ga 0.8181 0.8181 0.5456  4 Ni 2.30-2.49
Ga 0.0000 0.0000 0.0000  6 Li 2.79, 6 Ni 2.95
Ga 0.1819 0.1819 0.4544  4 Ni 2.30-2.49

Calculated values
Crystal system: trigonal
Volume in Å³/atom: 12.8
Uncorrected energy in eV for the cell shown: -59.0



Question: Which formula does entry 2 have?
Answer: CuSiHg2